# HfFeNO2 (GGA+U, relaxed)
data_HfFeNO2
_chemical_formula_sum 'Hf1 Fe1 N1 O2'
_cell_length_a 4.030
_cell_length_b 4.030
_cell_length_c 4.280
_cell_angle_alpha 90.00
_cell_angle_beta 90.00
_cell_angle_gamma 90.00
_symmetry_space_group_name_H-M 'P 1'
_symmetry_Int_Tables_number 1
loop_
_symmetry_equiv_pos_as_xyz
'x,y,z'
loop_
_atom_site_label
_atom_site_fract_x
_atom_site_fract_y
_atom_site_fract_z
_atom_site_occupancy
Hf1 0.000 0.000 0.000 1
O1 0.500 0.000 0.000 1
O2 0.000 0.500 0.000 1
N1 0.000 0.000 0.500 1
Fe1 0.500 0.500 0.500 1
# **Energy**: -7.80 eV per atom
# **Magnetic moment**: 5.00 μB per formula unit
# **Space group**: P4/mmm